1.
A relaxed structure of Cu8Pd3Au2. Source: Alexandria via LeMat-Bulk, functional PBE.

Calculated values
The calculated formation energy is 0.041 eV per atom. The electronic total energy comes out at -108.73 eV/cell.

Structure (CIF):
```
data_Cu8Pd3Au2
_chemical_formula_sum 'Cu16 Pd6 Au4'
_cell_length_a 10.1538
_cell_length_b 7.7776
_cell_length_c 4.9261
_cell_angle_alpha 90.00
_cell_angle_beta 103.06
_cell_angle_gamma 90.00
_space_group_name_H-M_alt 'C 1 2/m 1'
_space_group_IT_number 12
_space_group_name_Hall '-C 2y'
loop_
_atom_site_label
_atom_site_type_symbol
_atom_site_fract_x
_atom_site_fract_y
_atom_site_fract_z
_atom_site_occupancy
Cu1 Cu 0.0277 0.0000 0.2625 1
Cu2 Cu 0.1325 0.2244 0.0350 1
Cu3 Cu 0.1997 0.5000 0.7529 1
Pd1 Pd 0.0000 0.3015 0.5000 1
Pd2 Pd 0.0000 0.5000 0.0000 1
Au1 Au 0.2282 0.0000 0.7031 1
```

2.
A relaxed structure of CuPd8Au6. Source: Alexandria via LeMat-Bulk, functional PBE.

Calculated values
The calculated formation energy is 0.110 eV per atom. As for the energy above the lowest structure with this stoichiometry: 0.000 eV per atom. The electronic total energy comes out at -63.65 eV/cell.

Structure (CIF):
```
data_CuPd8Au6
_chemical_formula_sum 'Cu1 Pd8 Au6'
_cell_length_a 7.4028
_cell_length_b 7.4028
_cell_length_c 5.6340
_cell_angle_alpha 90.00
_cell_angle_beta 90.00
_cell_angle_gamma 120.00
_space_group_name_H-M_alt 'P 3'
_space_group_IT_number 143
_space_group_name_Hall 'P 3'
loop_
_atom_site_label
_atom_site_type_symbol
_atom_site_fract_x
_atom_site_fract_y
_atom_site_fract_z
_atom_site_occupancy
Cu1 Cu 0.0000 0.0000 0.0000 1
Pd1 Pd 0.9997 0.2736 0.6976 1
Pd2 Pd 0.0014 0.6511 0.4339 1
Pd3 Pd 0.3333 0.6667 0.6479 1
Pd4 Pd 0.6667 0.3333 0.6422 1
Au1 Au 0.9997 0.6297 0.9375 1
Au2 Au 0.3159 0.0013 0.2066 1
```

3.
A relaxed structure of Cu2PdAu2. Source: Alexandria via LeMat-Bulk, functional PBE.

Calculated values
The calculated formation energy is -0.043 eV per atom. As for the energy above the lowest structure with this stoichiometry: 0.000 eV per atom. The electronic total energy comes out at -80.63 eV/cell.

Structure (CIF):
```
data_Cu2PdAu2
_chemical_formula_sum 'Cu8 Pd4 Au8'
_cell_length_a 4.2074
_cell_length_b 13.5545
_cell_length_c 5.4014
_cell_angle_alpha 90.00
_cell_angle_beta 90.00
_cell_angle_gamma 90.00
_space_group_name_H-M_alt 'C m c 21'
_space_group_IT_number 36
_space_group_name_Hall 'C 2c -2'
loop_
_atom_site_label
_atom_site_type_symbol
_atom_site_fract_x
_atom_site_fract_y
_atom_site_fract_z
_atom_site_occupancy
Cu1 Cu 0.0000 0.1074 0.0000 1
Cu2 Cu 0.0000 0.3097 0.2462 1
Pd1 Pd 0.0000 0.1035 0.5036 1
Au1 Au 0.0000 0.2955 0.7446 1
Au2 Au 0.0000 0.4993 0.2544 1
```

4.
A relaxed structure of Cu12Pd6Au. Source: Alexandria via LeMat-Bulk, functional PBE.

Calculated values
The calculated formation energy is 0.018 eV per atom. As for the energy above the lowest structure with this stoichiometry: 0.000 eV per atom. The electronic total energy comes out at -249.72 eV/cell.

Structure (CIF):
```
data_Cu12Pd6Au
_chemical_formula_sum 'Cu36 Pd18 Au3'
_cell_length_a 9.3175
_cell_length_b 9.3175
_cell_length_c 10.6956
_cell_angle_alpha 90.00
_cell_angle_beta 90.00
_cell_angle_gamma 120.00
_space_group_name_H-M_alt 'R -3'
_space_group_IT_number 148
_space_group_name_Hall '-R 3'
loop_
_atom_site_label
_atom_site_type_symbol
_atom_site_fract_x
_atom_site_fract_y
_atom_site_fract_z
_atom_site_occupancy
Cu1 Cu 0.0450 0.1848 0.3078 1
Cu2 Cu 0.0564 0.8597 0.9082 1
Pd1 Pd 0.0173 0.4250 0.2118 1
Au1 Au 0.0000 0.0000 0.5000 1
```

5.
A relaxed structure of Cu2PdAu6. Source: Alexandria via LeMat-Bulk, functional PBE.

Calculated values
The calculated formation energy is -0.051 eV per atom. As for the energy above the lowest structure with this stoichiometry: 0.000 eV per atom. The electronic total energy comes out at -67.01 eV/cell.

Structure (CIF):
```
data_Cu2PdAu6
_chemical_formula_sum 'Cu4 Pd2 Au12'
_cell_length_a 9.1648
_cell_length_b 4.0574
_cell_length_c 8.6062
_cell_angle_alpha 90.00
_cell_angle_beta 111.70
_cell_angle_gamma 90.00
_space_group_name_H-M_alt 'C 1 2/m 1'
_space_group_IT_number 12
_space_group_name_Hall '-C 2y'
loop_
_atom_site_label
_atom_site_type_symbol
_atom_site_fract_x
_atom_site_fract_y
_atom_site_fract_z
_atom_site_occupancy
Cu1 Cu 0.1587 0.0000 0.0562 1
Pd1 Pd 0.0000 0.5000 0.5000 1
Au1 Au 0.0198 0.5000 0.8472 1
Au2 Au 0.1615 0.0000 0.3839 1
Au3 Au 0.1809 0.0000 0.7388 1
```

6.
A relaxed structure of Cu2PdAu8. Source: Alexandria via LeMat-Bulk, functional PBE.

Calculated values
The calculated formation energy is 0.005 eV per atom. As for the energy above the lowest structure with this stoichiometry: 0.015 eV per atom. The electronic total energy comes out at -79.10 eV/cell.

Structure (CIF):
```
data_Cu2PdAu8
_chemical_formula_sum 'Cu4 Pd2 Au16'
_cell_length_a 8.2199
_cell_length_b 10.5415
_cell_length_c 4.7686
_cell_angle_alpha 90.00
_cell_angle_beta 112.15
_cell_angle_gamma 90.00
_space_group_name_H-M_alt 'C 1 2/m 1'
_space_group_IT_number 12
_space_group_name_Hall '-C 2y'
loop_
_atom_site_label
_atom_site_type_symbol
_atom_site_fract_x
_atom_site_fract_y
_atom_site_fract_z
_atom_site_occupancy
Cu1 Cu 0.0000 0.1290 0.0000 1
Pd1 Pd 0.0000 0.0000 0.5000 1
Au1 Au 0.0000 0.2674 0.5000 1
Au2 Au 0.1883 0.3570 0.1265 1
Au3 Au 0.2006 0.5000 0.6376 1
```

7.
A relaxed structure of Cu16Pd6Au7. Source: Alexandria via LeMat-Bulk, functional PBE.

Calculated values
The calculated formation energy is -0.005 eV per atom. The electronic total energy comes out at -479.16 eV/cell.

Structure (CIF):
```
data_Cu16Pd6Au7
_chemical_formula_sum 'Cu64 Pd24 Au28'
_cell_length_a 12.0965
_cell_length_b 12.0965
_cell_length_c 12.0965
_cell_angle_alpha 90.00
_cell_angle_beta 90.00
_cell_angle_gamma 90.00
_space_group_name_H-M_alt 'F m -3 m'
_space_group_IT_number 225
_space_group_name_Hall '-F 4 2 3'
loop_
_atom_site_label
_atom_site_type_symbol
_atom_site_fract_x
_atom_site_fract_y
_atom_site_fract_z
_atom_site_occupancy
Cu1 Cu 0.1161 0.1161 0.1161 1
Cu2 Cu 0.1295 0.1295 0.3705 1
Pd1 Pd 0.0000 0.0000 0.2555 1
Au1 Au 0.0000 0.0000 0.5000 1
Au2 Au 0.0000 0.2500 0.2500 1
```

8.
A relaxed structure of CuPd3Au6. Source: Alexandria via LeMat-Bulk, functional PBE.

Calculated values
The calculated formation energy is 0.052 eV per atom. As for the energy above the lowest structure with this stoichiometry: 0.068 eV per atom. The electronic total energy comes out at -77.65 eV/cell.

Structure (CIF):
```
data_CuPd3Au6
_chemical_formula_sum 'Cu2 Pd6 Au12'
_cell_length_a 7.0537
_cell_length_b 6.7772
_cell_length_c 9.4455
_cell_angle_alpha 90.00
_cell_angle_beta 128.01
_cell_angle_gamma 90.00
_space_group_name_H-M_alt 'P 1 21/c 1'
_space_group_IT_number 14
_space_group_name_Hall '-P 2ybc'
loop_
_atom_site_label
_atom_site_type_symbol
_atom_site_fract_x
_atom_site_fract_y
_atom_site_fract_z
_atom_site_occupancy
Cu1 Cu 0.0000 0.0000 0.0000 1
Pd1 Pd 0.2409 0.1697 0.5511 1
Pd2 Pd 0.5000 0.0000 0.0000 1
Au1 Au 0.0147 0.1171 0.7196 1
Au2 Au 0.2666 0.7088 0.1882 1
Au3 Au 0.3821 0.1015 0.3391 1
```

9.
A relaxed structure of CuPd8Au6. Source: Alexandria via LeMat-Bulk, functional PBE.

Calculated values
The calculated formation energy is 0.124 eV per atom. As for the energy above the lowest structure with this stoichiometry: 0.013 eV per atom. The electronic total energy comes out at -190.35 eV/cell.

Structure (CIF):
```
data_CuPd8Au6
_chemical_formula_sum 'Cu3 Pd24 Au18'
_cell_length_a 7.4860
_cell_length_b 7.4860
_cell_length_c 16.5740
_cell_angle_alpha 90.00
_cell_angle_beta 90.00
_cell_angle_gamma 120.00
_space_group_name_H-M_alt 'R -3'
_space_group_IT_number 148
_space_group_name_Hall '-R 3'
loop_
_atom_site_label
_atom_site_type_symbol
_atom_site_fract_x
_atom_site_fract_y
_atom_site_fract_z
_atom_site_occupancy
Cu1 Cu 0.0000 0.0000 0.0000 1
Pd1 Pd 0.0000 0.0000 0.2473 1
Pd2 Pd 0.0061 0.7050 0.1295 1
Au1 Au 0.0055 0.7021 0.6267 1
```